Entry 1:
LiSi2Tc | PBEsol | optimized geometry

Values from the calculation:
Polymorph energy (0 for the lowest one)   3.182 kcal/mol of atoms
Crystal system   orthorhombic
E_tot   -6.31 eV/atom

Cell lengths 5.1074, 7.3273, 2.7075 Å; angles 90.00, 90.00, 90.00 degrees
Space group Cmmm (No. 65)
Unique sites:
Li: 0.0000 0.0000 0.0000 (multiplicity 2)
Si: 0.2500 0.2500 0.5000 (multiplicity 4)
Tc: 0.0000 0.5000 0.0000 (multiplicity 2)



Entry 2:
InCu2Te | PBEsol | optimized geometry

Values from the calculation:
Polymorph energy (0 for the lowest one)   0.000 kcal/mol of atoms
Crystal system   trigonal
E_tot   -3.72 eV/atom

Cell lengths 3.9796, 3.9796, 17.3819 Å; angles 90.00, 90.00, 120.00 degrees
Space group R3m (No. 160, hexagonal axes)
Unique sites:
In: 0.0000 0.0000 0.0000 (multiplicity 3)
Cu: 0.0000 0.0000 0.4563 (multiplicity 3)
Cu: 0.0000 0.0000 0.7477 (multiplicity 3)
Te: 0.0000 0.0000 0.1941 (multiplicity 3)



Entry 3:
BPCl2O | PBEsol | optimized geometry

Values from the calculation:
Crystal system   tetragonal
E_tot   -3.46 eV/atom

Cell lengths 4.0134, 4.0134, 4.4135 Å; angles 90.00, 90.00, 90.00 degrees
Space group P4/mmm (No. 123)
Unique sites:
B: 0.0000 0.0000 0.0000 (multiplicity 1)
P: 0.0000 0.0000 0.5000 (multiplicity 1)
Cl: 0.0000 0.5000 0.0000 (multiplicity 2)
O: 0.5000 0.5000 0.5000 (multiplicity 1)